# 1
# Pr3EuRh, optimized geometry, DFT PBE-GGA
# symmetry = Pm-3m (221)
# formation energy = -193 meV per atom
# mass density = 6.1 g/cm³
data_Pr3EuRh
_space_group_name_H-M_alt 'P 1'
_space_group_IT_number 1
_space_group_name_Hall 'P 1'
_cell_length_a 5.690
_cell_length_b 5.690
_cell_length_c 5.690
_cell_angle_alpha 90.00
_cell_angle_beta 90.00
_cell_angle_gamma 90.00
loop_
_atom_site_label
_atom_site_fract_x
_atom_site_fract_y
_atom_site_fract_z
Pr1 0.000 0.000 0.500
Pr2 0.000 0.500 0.000
Pr3 0.500 0.000 0.000
Eu1 0.500 0.500 0.500
Rh1 0.000 0.000 0.000


# 2
# PrEuRh4, optimized geometry, DFT PBE-GGA
# symmetry = F-43m (216)
# formation energy = -550 meV per atom
# mass density = 10.4 g/cm³
data_PrEuRh4
_space_group_name_H-M_alt 'P 1'
_space_group_IT_number 1
_space_group_name_Hall 'P 1'
_cell_length_a 5.426
_cell_length_b 5.426
_cell_length_c 5.426
_cell_angle_alpha 60.00
_cell_angle_beta 60.00
_cell_angle_gamma 60.00
loop_
_atom_site_label
_atom_site_fract_x
_atom_site_fract_y
_atom_site_fract_z
Pr1 0.000 0.000 0.000
Eu1 0.250 0.250 0.250
Rh1 0.125 0.625 0.625
Rh2 0.625 0.125 0.625
Rh3 0.625 0.625 0.125
Rh4 0.625 0.625 0.625


# 3
# PrEuTlRh, optimized geometry, DFT PBE-GGA
# symmetry = F-43m (216)
# formation energy = -339 meV per atom
# mass density = 9.5 g/cm³
data_PrEuTlRh
_space_group_name_H-M_alt 'P 1'
_space_group_IT_number 1
_space_group_name_Hall 'P 1'
_cell_length_a 5.296
_cell_length_b 5.296
_cell_length_c 5.296
_cell_angle_alpha 60.00
_cell_angle_beta 60.00
_cell_angle_gamma 60.00
loop_
_atom_site_label
_atom_site_fract_x
_atom_site_fract_y
_atom_site_fract_z
Pr1 0.000 0.000 0.000
Eu1 0.500 0.500 0.500
Tl1 0.250 0.250 0.250
Rh1 0.750 0.750 0.750


# 4
# PrEuZnRh, optimized geometry, DFT PBE-GGA
# symmetry = F-43m (216)
# formation energy = -385 meV per atom
# mass density = 8.1 g/cm³
data_PrEuZnRh
_space_group_name_H-M_alt 'P 1'
_space_group_IT_number 1
_space_group_name_Hall 'P 1'
_cell_length_a 5.119
_cell_length_b 5.119
_cell_length_c 5.119
_cell_angle_alpha 60.00
_cell_angle_beta 60.00
_cell_angle_gamma 60.00
loop_
_atom_site_label
_atom_site_fract_x
_atom_site_fract_y
_atom_site_fract_z
Pr1 0.000 0.000 0.000
Eu1 0.500 0.500 0.500
Zn1 0.750 0.750 0.750
Rh1 0.250 0.250 0.250


# 5
# PrEuRu4, optimized geometry, DFT PBE-GGA
# symmetry = F-43m (216)
# formation energy = -14 meV per atom
# mass density = 10.2 g/cm³
data_PrEuRu4
_space_group_name_H-M_alt 'P 1'
_space_group_IT_number 1
_space_group_name_Hall 'P 1'
_cell_length_a 5.428
_cell_length_b 5.428
_cell_length_c 5.428
_cell_angle_alpha 60.00
_cell_angle_beta 60.00
_cell_angle_gamma 60.00
loop_
_atom_site_label
_atom_site_fract_x
_atom_site_fract_y
_atom_site_fract_z
Pr1 0.000 0.000 0.000
Eu1 0.250 0.250 0.250
Ru1 0.125 0.625 0.625
Ru2 0.625 0.125 0.625
Ru3 0.625 0.625 0.125
Ru4 0.625 0.625 0.625


# 6
# PrEuRu, optimized geometry, DFT PBE-GGA
# symmetry = F-43m (216)
# formation energy = 43 meV per atom
# energy above the most stable polymorph in this dataset = 65 meV/atom
# mass density = 7.7 g/cm³
data_PrEuRu
_space_group_name_H-M_alt 'P 1'
_space_group_IT_number 1
_space_group_name_Hall 'P 1'
_cell_length_a 4.932
_cell_length_b 4.932
_cell_length_c 4.932
_cell_angle_alpha 60.00
_cell_angle_beta 60.00
_cell_angle_gamma 60.00
loop_
_atom_site_label
_atom_site_fract_x
_atom_site_fract_y
_atom_site_fract_z
Pr1 0.000 0.000 0.000
Eu1 0.500 0.500 0.500
Ru1 0.250 0.250 0.250


# 7
# PrEuRu, optimized geometry, DFT PBE-GGA
# symmetry = P3m1 (156)
# formation energy = 134 meV per atom
# energy above the most stable polymorph in this dataset = 156 meV/atom
# mass density = 8.7 g/cm³
data_PrEuRu
_space_group_name_H-M_alt 'P 1'
_space_group_IT_number 1
_space_group_name_Hall 'P 1'
_cell_length_a 4.833
_cell_length_b 4.833
_cell_length_c 3.724
_cell_angle_alpha 90.00
_cell_angle_beta 90.00
_cell_angle_gamma 120.00
loop_
_atom_site_label
_atom_site_fract_x
_atom_site_fract_y
_atom_site_fract_z
Pr1 0.000 0.000 0.000
Eu1 0.333 0.667 0.447
Ru1 0.667 0.333 0.742


# 8
# PrEuRu, optimized geometry, DFT PBE-GGA
# symmetry = I4mm (107)
# formation energy = -22 meV per atom
# energy above the most stable polymorph in this dataset = 0 meV/atom
# mass density = 7.7 g/cm³
data_PrEuRu
_space_group_name_H-M_alt 'P 1'
_space_group_IT_number 1
_space_group_name_Hall 'P 1'
_cell_length_a 7.186
_cell_length_b 7.186
_cell_length_c 7.186
_cell_angle_alpha 151.44
_cell_angle_beta 151.44
_cell_angle_gamma 40.83
loop_
_atom_site_label
_atom_site_fract_x
_atom_site_fract_y
_atom_site_fract_z
Pr1 0.000 0.000 0.000
Eu1 0.748 0.748 0.000
Ru1 0.382 0.382 0.000